Here is a geometry-optimized Ac8Ga3Ir structure from Alexandria via LeMat-Bulk. Energies are from PBE.

Geometry as CIF:
```
data_Ac8Ga3Ir
_chemical_formula_sum 'Ac8 Ga3 Ir1'
_space_group_name_H-M_alt 'P 1'
_space_group_IT_number 1
_space_group_name_Hall 'P 1'
_cell_length_a 7.6222
_cell_length_b 7.6222
_cell_length_c 9.3317
_cell_angle_alpha 114.10
_cell_angle_beta 114.10
_cell_angle_gamma 90.00
loop_
_atom_site_label
_atom_site_type_symbol
_atom_site_fract_x
_atom_site_fract_y
_atom_site_fract_z
Ac1 Ac 0.6360 0.1207 0.7567
Ac2 Ac 0.8793 0.3640 0.2433
Ac3 Ac 0.8793 0.8793 0.2433
Ac4 Ac 0.3640 0.3640 0.2433
Ac5 Ac 0.1207 0.6360 0.7567
Ac6 Ac 0.1207 0.1207 0.7567
Ac7 Ac 0.3640 0.8793 0.2433
Ac8 Ac 0.6360 0.6360 0.7567
Ga1 Ga 0.5000 0.5000 0.0000
Ga2 Ga 0.7500 0.2500 0.5000
Ga3 Ga 0.2500 0.7500 0.5000
Ir1 Ir 0.0000 0.0000 0.0000
```

Calculated values
**ΔE_f**: -256 meV per atom
**E_tot**: -4.490 eV/atom
**Spin magnetization**: 0.00 μB/cell
**Space-group type**: I4/mmm, No. 139